First-principles (GGA-PBE) data for a relaxed Nd4Sm3In2 crystal, as listed in the Alexandria database.

a = 5.451 Å, b = 6.922 Å, c = 8.693 Å
α = 103.59°, β = 90.05°, γ = 113.18°
Positions (direct):
Nd: 0.119 0.239 0.156
Nd: 0.331 0.662 0.537
Nd: 0.669 0.338 0.463
Nd: 0.881 0.761 0.844
Sm: 0.000 0.000 0.500
Sm: 0.421 0.842 0.149
Sm: 0.579 0.158 0.851
In: 0.209 0.418 0.818
In: 0.791 0.582 0.182

Output
**Magnetization**: 0.000 μB per atom
**Calculated formation energy**: -162 kJ/mol of formula units
**E**: -4.487 eV/atom


First-principles (GGA-PBE) data for a relaxed Nd7Sm4In crystal, as listed in the Alexandria database.

a = 8.899 Å, b = 8.899 Å, c = 9.397 Å
α = 115.54°, β = 115.54°, γ = 39.82°
Positions (direct):
Nd: 0.000 0.000 0.000
Nd: 0.288 0.288 0.130
Nd: 0.297 0.297 0.788
Nd: 0.427 0.427 0.588
Nd: 0.573 0.573 0.412
Nd: 0.703 0.703 0.212
Nd: 0.712 0.712 0.870
Sm: 0.079 0.079 0.694
Sm: 0.180 0.180 0.400
Sm: 0.820 0.820 0.600
Sm: 0.921 0.921 0.306
In: 0.500 0.500 0.000

Output
**Magnetization**: 0.000 μB per atom
**Calculated formation energy**: 143 kJ/mol of formula units
**E**: -4.459 eV/atom


First-principles (GGA-PBE) data for a relaxed Nd5Sm5In2 crystal, as listed in the Alexandria database.

a = 6.342 Å, b = 6.342 Å, c = 12.892 Å
α = 91.93°, β = 91.93°, γ = 50.01°
Positions (direct):
Nd: 0.000 0.000 0.000
Nd: 0.123 0.123 0.767
Nd: 0.300 0.300 0.425
Nd: 0.700 0.700 0.575
Nd: 0.877 0.877 0.233
Sm: 0.000 0.000 0.500
Sm: 0.340 0.340 0.987
Sm: 0.410 0.410 0.692
Sm: 0.590 0.590 0.308
Sm: 0.660 0.660 0.013
In: 0.187 0.187 0.193
In: 0.813 0.813 0.807

Output
**Magnetization**: 0.000 μB per atom
**Calculated formation energy**: -78 kJ/mol of formula units
**E**: -4.477 eV/atom


First-principles (GGA-PBE) data for a relaxed NdSm2In2 crystal, as listed in the Alexandria database.

a = 9.071 Å, b = 9.071 Å, c = 3.533 Å
α = 90.00°, β = 90.00°, γ = 149.80°
Positions (direct):
Nd: 0.000 0.000 0.000
Sm: 0.186 0.814 0.000
Sm: 0.814 0.186 0.000
In: 0.393 0.607 0.500
In: 0.607 0.393 0.500

Output
**Magnetization**: 0.000 μB per atom
**Calculated formation energy**: -136 kJ/mol of formula units
**E**: -4.218 eV/atom


First-principles (GGA-PBE) data for a relaxed Nd12Sm3In crystal, as listed in the Alexandria database.

a = 5.112 Å, b = 5.112 Å, c = 20.793 Å
α = 90.00°, β = 90.00°, γ = 90.00°
Positions (direct):
Nd: 0.000 0.000 0.000
Nd: 0.000 0.000 0.245
Nd: 0.000 0.000 0.500
Nd: 0.000 0.000 0.755
Nd: 0.000 0.500 0.120
Nd: 0.000 0.500 0.373
Nd: 0.000 0.500 0.627
Nd: 0.000 0.500 0.880
Nd: 0.500 0.000 0.120
Nd: 0.500 0.000 0.373
Nd: 0.500 0.000 0.627
Nd: 0.500 0.000 0.880
Sm: 0.500 0.500 0.247
Sm: 0.500 0.500 0.500
Sm: 0.500 0.500 0.753
In: 0.500 0.500 0.000

Output
**Magnetization**: 0.000 μB per atom
**Calculated formation energy**: -74 kJ/mol of formula units
**E**: -4.680 eV/atom


First-principles (GGA-PBE) data for a relaxed Nd3Sm3In2 crystal, as listed in the Alexandria database.

a = 6.666 Å, b = 6.666 Å, c = 15.939 Å
α = 90.00°, β = 90.00°, γ = 132.67°
Positions (direct):
Nd: 0.039 0.961 0.606
Nd: 0.039 0.961 0.894
Nd: 0.265 0.735 0.750
Nd: 0.735 0.265 0.250
Nd: 0.961 0.039 0.106
Nd: 0.961 0.039 0.394
Sm: 0.359 0.641 0.530
Sm: 0.359 0.641 0.970
Sm: 0.456 0.544 0.250
Sm: 0.544 0.456 0.750
Sm: 0.641 0.359 0.030
Sm: 0.641 0.359 0.470
In: 0.225 0.775 0.141
In: 0.225 0.775 0.359
In: 0.775 0.225 0.641
In: 0.775 0.225 0.859

Output
**Magnetization**: 0.000 μB per atom
**Calculated formation energy**: -121 kJ/mol of formula units
**E**: -4.399 eV/atom


First-principles (GGA-PBE) data for a relaxed Nd4SmIn5 crystal, as listed in the Alexandria database.

a = 3.871 Å, b = 3.871 Å, c = 19.295 Å
α = 90.00°, β = 90.00°, γ = 90.00°
Positions (direct):
Nd: 0.000 0.000 0.101
Nd: 0.000 0.000 0.302
Nd: 0.000 0.000 0.698
Nd: 0.000 0.000 0.899
Sm: 0.000 0.000 0.500
In: 0.500 0.500 0.000
In: 0.500 0.500 0.201
In: 0.500 0.500 0.403
In: 0.500 0.500 0.597
In: 0.500 0.500 0.799

Output
**Magnetization**: 0.000 μB per atom
**Calculated formation energy**: -478 kJ/mol of formula units
**E**: -4.243 eV/atom


First-principles (GGA-PBE) data for a relaxed NdSm2In4 crystal, as listed in the Alexandria database.

a = 8.375 Å, b = 8.375 Å, c = 5.356 Å
α = 108.57°, β = 108.57°, γ = 37.30°
Positions (direct):
Nd: 0.000 0.000 0.000
Sm: 0.255 0.255 0.255
Sm: 0.745 0.745 0.745
In: 0.117 0.117 0.617
In: 0.383 0.383 0.883
In: 0.617 0.617 0.117
In: 0.883 0.883 0.383

Output
**Magnetization**: 0.000 μB per atom
**Calculated formation energy**: -208 kJ/mol of formula units
**E**: -3.902 eV/atom